The following is a GGA-PBE calculation of crystalline PmDyGaPt at its relaxed geometry, from Alexandria via LeMat-Bulk.

distance to the lowest polymorph of the same formula: 0.37 eV per formula unit
DOS at the Fermi energy: 11.5 states/eV per cell
formation energy: -0.809 eV/atom

Cell lengths 7.1788, 7.1788, 7.1788 Å; angles 90.00, 90.00, 90.00 degrees
Closest atoms and distances in Å follow each position.
Element x y z (fractional)
Pm (0.0000, 0.0000, 0.0000)  4 Pt 3.11, 4 Ga 3.11
Pm (0.0000, 0.5000, 0.5000)  4 Pt 3.11, 4 Ga 3.11
Pm (0.5000, 0.0000, 0.5000)  4 Pt 3.11, 4 Ga 3.11
Pm (0.5000, 0.5000, 0.0000)  4 Pt 3.11, 4 Ga 3.11
Dy (0.0000, 0.0000, 0.5000)  4 Pt 3.11, 4 Ga 3.11
Dy (0.0000, 0.5000, 0.0000)  4 Pt 3.11, 4 Ga 3.11
Dy (0.5000, 0.0000, 0.0000)  4 Pt 3.11, 4 Ga 3.11
Dy (0.5000, 0.5000, 0.5000)  4 Pt 3.11, 4 Ga 3.11
Ga (0.2500, 0.2500, 0.7500)  4 Dy 3.11, 4 Pm 3.11
Ga (0.2500, 0.7500, 0.2500)  4 Dy 3.11, 4 Pm 3.11
Ga (0.7500, 0.2500, 0.2500)  4 Dy 3.11, 4 Pm 3.11
Ga (0.7500, 0.7500, 0.7500)  4 Dy 3.11, 4 Pm 3.11
Pt (0.2500, 0.2500, 0.2500)  4 Dy 3.11, 4 Pm 3.11
Pt (0.2500, 0.7500, 0.7500)  4 Dy 3.11, 4 Pm 3.11
Pt (0.7500, 0.2500, 0.7500)  4 Dy 3.11, 4 Pm 3.11
Pt (0.7500, 0.7500, 0.2500)  4 Dy 3.11, 4 Pm 3.11



The following is a GGA-PBE calculation of crystalline LaHo5Hg2 at its relaxed geometry, from Alexandria via LeMat-Bulk.

DOS at the Fermi energy: 19.1 states/eV per cell
formation energy: -0.177 eV/atom

Cell lengths 3.7348, 10.1618, 12.4812 Å; angles 90.00, 90.00, 90.00 degrees
Closest atoms and distances in Å follow each position.
Element x y z (fractional)
La (0.0000, 0.0000, 0.0000)  4 Hg 3.56, 2 La 3.73, 8 Ho 3.79
La (0.5000, 0.5000, 0.5000)  4 Hg 3.56, 2 La 3.73, 8 Ho 3.79
Ho (0.0000, 0.2233, 0.3626)  3 Hg 3.10-3.30, 5 Ho 3.40-3.43
Ho (0.0000, 0.2233, 0.6374)  3 Hg 3.10-3.30, 5 Ho 3.40-3.43
Ho (0.0000, 0.5000, 0.0000)  2 Hg 3.21, 8 Ho 3.40
Ho (0.0000, 0.7767, 0.3626)  3 Hg 3.10-3.30, 5 Ho 3.40-3.43
Ho (0.0000, 0.7767, 0.6374)  3 Hg 3.10-3.30, 5 Ho 3.40-3.43
Ho (0.5000, 0.0000, 0.5000)  2 Hg 3.21, 8 Ho 3.40
Ho (0.5000, 0.2767, 0.1374)  3 Hg 3.10-3.30, 5 Ho 3.40-3.43
Ho (0.5000, 0.2767, 0.8626)  3 Hg 3.10-3.30, 5 Ho 3.40-3.43
Ho (0.5000, 0.7233, 0.1374)  3 Hg 3.10-3.30, 5 Ho 3.40-3.43
Ho (0.5000, 0.7233, 0.8626)  3 Hg 3.10-3.30, 5 Ho 3.40-3.43
Hg (0.0000, 0.5000, 0.2575)  7 Ho 3.10-3.30
Hg (0.0000, 0.5000, 0.7425)  7 Ho 3.10-3.30
Hg (0.5000, 0.0000, 0.2425)  7 Ho 3.10-3.30
Hg (0.5000, 0.0000, 0.7575)  7 Ho 3.10-3.30



The following is a GGA-PBE calculation of crystalline CaLa2NiSn at its relaxed geometry, from Alexandria via LeMat-Bulk.

distance to the lowest polymorph of the same formula: 0.37 eV per formula unit
DOS at the Fermi energy: 3.6 states/eV per cell
formation energy: -0.309 eV/atom

Cell lengths 5.4541, 5.4541, 5.1016 Å; angles 90.00, 90.00, 90.00 degrees
Closest atoms and distances in Å follow each position.
Element x y z (fractional)
Ca (0.0000, 0.0000, 0.0000)  8 La 3.73, 4 Sn 3.86
La (0.0000, 0.5000, 0.5000)  2 Ni 2.73
La (0.5000, 0.0000, 0.5000)  2 Ni 2.73
Ni (0.5000, 0.5000, 0.5000)  2 Sn 2.55, 4 La 2.73
Sn (0.5000, 0.5000, 0.0000)  2 Ni 2.55



The following is a GGA-PBE calculation of crystalline Y3Al2Ag at its relaxed geometry, from Alexandria via LeMat-Bulk.

DOS at the Fermi energy: 4.6 states/eV per cell
formation energy: -0.387 eV/atom

Cell lengths 3.5469, 3.5469, 11.3635 Å; angles 90.00, 90.00, 90.00 degrees
Closest atoms and distances in Å follow each position.
Element x y z (fractional)
Y (0.0000, 0.0000, 0.0000)  8 Al 3.15
Y (0.0000, 0.0000, 0.3311)  4 Al 3.12, 4 Ag 3.16
Y (0.0000, 0.0000, 0.6689)  4 Al 3.12, 4 Ag 3.16
Al (0.5000, 0.5000, 0.1680)  8 Y 3.12-3.15
Al (0.5000, 0.5000, 0.8320)  8 Y 3.12-3.15
Ag (0.5000, 0.5000, 0.5000)  8 Y 3.16



The following is a GGA-PBE calculation of crystalline YMnSb2 at its relaxed geometry, from Alexandria via LeMat-Bulk.

E_form (uncorrected): -239.3 meV/atom
DOS at the Fermi energy: 2.7 states/eV per cell

Cell lengths 3.9072, 3.9072, 6.3318 Å; angles 90.00, 90.00, 90.00 degrees
Closest atoms and distances in Å follow each position.
Element x y z (fractional)
Y (0.0000, 0.0000, 0.0000)  2 Mn 3.17, 8 Sb 3.23
Mn (0.0000, 0.0000, 0.5000)  8 Sb 3.14, 2 Y 3.17
Sb (0.5000, 0.5000, 0.2649)  1 Sb 2.98, 4 Mn 3.14, 4 Y 3.23
Sb (0.5000, 0.5000, 0.7351)  1 Sb 2.98, 4 Mn 3.14, 4 Y 3.23



The following is a GGA-PBE calculation of crystalline AsRuWBr2 at its relaxed geometry, from Alexandria via LeMat-Bulk.

E_form (uncorrected): 1397.4 meV/atom
distance to the lowest polymorph of the same formula: 0.44 eV per formula unit
DOS at the Fermi energy: 4.9 states/eV per cell

Cell lengths 5.1250, 5.1250, 4.6759 Å; angles 90.00, 90.00, 90.00 degrees
Closest atoms and distances in Å follow each position.
Element x y z (fractional)
As (0.0000, 0.0000, 0.0000)  2 Ru 2.34
Ru (0.0000, 0.0000, 0.5000)  2 As 2.34, 4 Br 2.56
W (0.5000, 0.5000, 0.0000)  8 Br 3.47, 4 As 3.62
Br (0.0000, 0.5000, 0.5000)  2 Ru 2.56
Br (0.5000, 0.0000, 0.5000)  2 Ru 2.56



Which of these has the highest DOS at the Fermi energy?
LaHo5Hg2



Which of these has the highest DOS at the Fermi energy?
LaHo5Hg2



Among the records above, which one has the lowest DOS at the Fermi energy?
YMnSb2



What is the DOS at the Fermi energy in the first record?
11.5 states/eV per cell